Computed, not measured: a relaxed La4ScPa3N8 crystal at the PBE-GGA level of DFT.

symmetry	R-3m, No. 166
formation energy from raw total energies	-1.568	eV per atom
VASP energy	-9.139	eV/atom

Cell: 7.0798 7.2412 7.0805 Å, 119.28 120.00 90.00°
With the nearest neighbours (Å) after each atom.
Fractional positions:
Pa 0.5000 0.5000 0.5000  6 N 2.37-2.38
Pa 0.0000 0.5000 0.5000  6 N 2.37-2.38
Pa 0.5000 0.5000 0.0000  6 N 2.37-2.38
La 0.0000 0.0000 0.5000  6 N 2.71-2.72
La 0.5000 0.0000 0.5000  6 N 2.71-2.72
La 0.5000 0.0000 0.0000  6 N 2.70
La 0.0000 0.0000 0.0000  6 N 2.71-2.72
N 0.2679 0.2981 0.0330  2 Pa 2.37, 1 Sc 2.38
N 0.7321 0.7019 0.9670  2 Pa 2.37, 1 Sc 2.38
N 0.2349 0.7019 0.4697  2 Pa 2.37, 1 Sc 2.38
N 0.2349 0.7019 0.9670  2 Pa 2.37, 1 Sc 2.38
N 0.2658 0.2974 0.5316  3 Pa 2.38
N 0.7651 0.2981 0.0330  2 Pa 2.37, 1 Sc 2.38
N 0.7651 0.2981 0.5303  2 Pa 2.37, 1 Sc 2.38
N 0.7342 0.7026 0.4684  3 Pa 2.38
Sc 0.0000 0.5000 0.0000  6 N 2.38